1.
Material: CaGe2Rh2
Method: DFT, SCAN
State: PBEsol geometry

## Properties
**Symmetry**: I4/mmm
**Energy relative to the elements**: -0.94 eV per atom

a = 5.926 Å, b = 5.926 Å, c = 5.926 Å
α = 139.37°, β = 139.37°, γ = 58.80°
Sites, in units of the cell vectors:
Ca 0.000 0.000 0.000
Ge 0.375 0.375 0.000
Ge 0.625 0.625 0.000
Rh 0.250 0.750 0.500
Rh 0.750 0.250 0.500

---

2.
Material: CaGeRu3
Method: DFT, SCAN
State: PBEsol geometry

## Properties
**Symmetry**: Pm-3m
**Energy relative to the elements**: 0.58 eV per atom

a = 4.546 Å, b = 4.546 Å, c = 4.546 Å
α = 90.00°, β = 90.00°, γ = 90.00°
Sites, in units of the cell vectors:
Ca 0.000 0.000 0.000
Ge 0.500 0.500 0.500
Ru 0.000 0.500 0.500
Ru 0.500 0.000 0.500
Ru 0.500 0.500 0.000

---

3.
Material: CaGe2Ru2
Method: DFT, SCAN
State: PBEsol geometry

## Properties
**Symmetry**: I4/mmm
**Energy relative to the elements**: -0.63 eV per atom

a = 5.788 Å, b = 5.788 Å, c = 5.788 Å
α = 137.23°, β = 137.23°, γ = 62.09°
Sites, in units of the cell vectors:
Ca 0.000 0.000 0.000
Ge 0.369 0.369 0.000
Ge 0.631 0.631 0.000
Ru 0.250 0.750 0.500
Ru 0.750 0.250 0.500

---

4.
Material: Ca3GeRu
Method: DFT, SCAN
State: PBEsol geometry

## Properties
**Symmetry**: Pm-3m
**Energy relative to the elements**: 0.28 eV per atom

a = 5.233 Å, b = 5.233 Å, c = 5.233 Å
α = 90.00°, β = 90.00°, γ = 90.00°
Sites, in units of the cell vectors:
Ca 0.000 0.000 0.500
Ca 0.000 0.500 0.000
Ca 0.500 0.000 0.000
Ge 0.500 0.500 0.500
Ru 0.000 0.000 0.000

---

5.
Material: Ca2GeS
Method: DFT, SCAN
State: PBEsol geometry

## Properties
**Symmetry**: Fm-3m
**Formation energy without anion corrections**: -0.865 eV per atom

a = 5.020 Å, b = 5.020 Å, c = 5.020 Å
α = 60.00°, β = 60.00°, γ = 60.00°
Sites, in units of the cell vectors:
Ca 0.250 0.250 0.250
Ca 0.750 0.750 0.750
Ge 0.000 0.000 0.000
S 0.500 0.500 0.500

---

6.
Material: Ca2GeS4
Method: DFT, SCAN
State: PBEsol geometry

## Properties
**Symmetry**: Pnma
**Formation energy without anion corrections**: -1.583 eV per atom

a = 13.596 Å, b = 8.141 Å, c = 6.273 Å
α = 90.00°, β = 90.00°, γ = 90.00°
Sites, in units of the cell vectors:
Ca 0.000 0.000 0.000
Ca 0.000 0.500 0.000
Ca 0.227 0.250 0.483
Ca 0.273 0.750 0.983
Ca 0.500 0.000 0.500
Ca 0.500 0.500 0.500
Ca 0.727 0.250 0.017
Ca 0.773 0.750 0.517
Ge 0.094 0.750 0.408
Ge 0.406 0.250 0.908
Ge 0.594 0.750 0.092
Ge 0.906 0.250 0.592
S 0.058 0.250 0.729
S 0.093 0.750 0.758
S 0.170 0.536 0.258
S 0.170 0.964 0.258
S 0.330 0.036 0.758
S 0.330 0.464 0.758
S 0.407 0.250 0.258
S 0.442 0.750 0.229
S 0.558 0.250 0.771
S 0.593 0.750 0.742
S 0.670 0.536 0.242
S 0.670 0.964 0.242
S 0.830 0.036 0.742
S 0.830 0.464 0.742
S 0.907 0.250 0.242
S 0.942 0.750 0.271

---

7.
Material: Ca2Ge2Sb
Method: DFT, SCAN
State: PBEsol geometry

## Properties
**Symmetry**: P4/mbm
**Formation energy without anion corrections**: -0.658 eV per atom

a = 7.459 Å, b = 7.459 Å, c = 4.338 Å
α = 90.00°, β = 90.00°, γ = 90.00°
Sites, in units of the cell vectors:
Ca 0.178 0.322 0.000
Ca 0.322 0.822 0.000
Ca 0.678 0.178 0.000
Ca 0.822 0.678 0.000
Ge 0.119 0.619 0.500
Ge 0.381 0.119 0.500
Ge 0.619 0.881 0.500
Ge 0.881 0.381 0.500
Sb 0.000 0.000 0.500
Sb 0.500 0.500 0.500

---

8.
Material: Ca3GeSb
Method: DFT, SCAN
State: PBEsol geometry

## Properties
**Symmetry**: Pm-3m
**Formation energy without anion corrections**: -0.531 eV per atom

a = 5.468 Å, b = 5.468 Å, c = 5.468 Å
α = 90.00°, β = 90.00°, γ = 90.00°
Sites, in units of the cell vectors:
Ca 0.000 0.000 0.500
Ca 0.000 0.500 0.000
Ca 0.500 0.000 0.000
Ge 0.000 0.000 0.000
Sb 0.500 0.500 0.500

---

9.
Material: CaGeSe2
Method: DFT, SCAN
State: PBEsol geometry

## Properties
**Symmetry**: Fm-3m
**Formation energy without anion corrections**: -0.830 eV per atom

a = 4.977 Å, b = 4.977 Å, c = 4.977 Å
α = 60.00°, β = 60.00°, γ = 60.00°
Sites, in units of the cell vectors:
Ca 0.000 0.000 0.000
Ge 0.500 0.500 0.500
Se 0.250 0.250 0.250
Se 0.750 0.750 0.750

---

10.
Material: CaGeSe2
Method: DFT, SCAN
State: PBEsol geometry

## Properties
**Symmetry**: I-42d
**Formation energy without anion corrections**: -0.937 eV per atom

a = 8.020 Å, b = 8.020 Å, c = 8.020 Å
α = 134.86°, β = 134.86°, γ = 65.75°
Sites, in units of the cell vectors:
Ca 0.000 0.000 0.000
Ca 0.750 0.250 0.500
Ge 0.250 0.750 0.500
Ge 0.500 0.500 0.000
Se 0.147 0.625 0.022
Se 0.375 0.397 0.522
Se 0.603 0.125 0.978
Se 0.875 0.853 0.478

---

11.
Material: CaSi2Ge2
Method: DFT, SCAN
State: PBEsol geometry

## Properties
**Symmetry**: I4/mmm
**Formation energy without anion corrections**: -0.079 eV per atom

a = 5.450 Å, b = 5.450 Å, c = 5.450 Å
α = 128.21°, β = 128.21°, γ = 76.29°
Sites, in units of the cell vectors:
Ca 0.000 0.000 0.000
Si 0.360 0.360 0.000
Si 0.640 0.640 0.000
Ge 0.250 0.750 0.500
Ge 0.750 0.250 0.500

---

12.
Material: Ca2SnGe2
Method: DFT, SCAN
State: PBEsol geometry

## Properties
**Symmetry**: P4/mbm
**Energy relative to the elements**: -0.62 eV per atom

a = 7.339 Å, b = 7.339 Å, c = 4.411 Å
α = 90.00°, β = 90.00°, γ = 90.00°
Sites, in units of the cell vectors:
Ca 0.177 0.323 0.000
Ca 0.323 0.823 0.000
Ca 0.677 0.177 0.000
Ca 0.823 0.677 0.000
Sn 0.000 0.000 0.500
Sn 0.500 0.500 0.500
Ge 0.120 0.620 0.500
Ge 0.380 0.120 0.500
Ge 0.620 0.880 0.500
Ge 0.880 0.380 0.500